1.
HfTe3O9 after structural relaxation, computed with PBE-GGA.

Calculated values
Calculated total energy ... -6.35 eV per atom
E_form (uncorrected) ... -1.429 eV per atom
V ... 17.56 A^3/atom

```
data_HfTe3O9
_cell_length_a 8.6394
_cell_length_b 8.6394
_cell_length_c 10.8001
_cell_angle_alpha 122.73
_cell_angle_beta 122.73
_cell_angle_gamma 44.22
_symmetry_space_group_name_H-M 'P 1'
_symmetry_Int_Tables_number 1
loop_
_symmetry_equiv_pos_as_xyz
'x,y,z'
loop_
_atom_site_label
_atom_site_fract_x
_atom_site_fract_y
_atom_site_fract_z
Hf1 0.2074 0.7926 0.5000
Hf2 0.7926 0.2074 0.0000
Te1 0.2046 0.3251 0.7944
Te2 0.3251 0.2046 0.2944
Te3 0.4303 0.7586 0.8870
Te4 0.7586 0.4303 0.3870
Te5 0.7805 0.8974 0.6098
Te6 0.8974 0.7805 0.1098
O1 0.0823 0.1900 0.1571
O2 0.1504 0.4103 0.9725
O3 0.1900 0.0823 0.6571
O4 0.2357 0.4923 0.3317
O5 0.4024 0.6336 0.6742
O6 0.4103 0.1504 0.4725
O7 0.4829 0.6707 0.4503
O8 0.4923 0.2357 0.8317
O9 0.5435 0.9862 0.1875
O10 0.6133 0.8363 0.9193
O11 0.6336 0.4024 0.1742
O12 0.6707 0.4829 0.9503
O13 0.8363 0.6133 0.4193
O14 0.9165 0.9175 0.5367
O15 0.9175 0.9165 0.0367
O16 0.9425 0.9799 0.8201
O17 0.9799 0.9425 0.3201
O18 0.9862 0.5435 0.6875
```

2.
Hf3TeO after structural relaxation, computed with PBE-GGA.

Calculated values
Calculated total energy ... -8.45 eV per atom
ΔE to the lowest computed polymorph ... 0.00 eV per formula unit
N(E_F) ... 6.293 states/eV/f.u.
E_form (uncorrected) ... -0.856 eV per atom
V ... 17.92 A^3/atom

```
data_Hf3TeO
_cell_length_a 4.4747
_cell_length_b 4.4747
_cell_length_c 4.4747
_cell_angle_alpha 90.00
_cell_angle_beta 90.00
_cell_angle_gamma 90.00
_symmetry_space_group_name_H-M 'P 1'
_symmetry_Int_Tables_number 1
loop_
_symmetry_equiv_pos_as_xyz
'x,y,z'
loop_
_atom_site_label
_atom_site_fract_x
_atom_site_fract_y
_atom_site_fract_z
Hf1 0.0000 0.0000 0.5000
Hf2 0.0000 0.5000 0.0000
Hf3 0.5000 0.0000 0.0000
Te1 0.5000 0.5000 0.5000
O1 0.0000 0.0000 0.0000
```

3.
Hf2TeO after structural relaxation, computed with PBE-GGA.

Calculated values
Calculated total energy ... -8.13 eV per atom
ΔE to the lowest computed polymorph ... 0.00 eV per formula unit
N(E_F) ... 2.023 states/eV/f.u.
E_form (uncorrected) ... -1.124 eV per atom
V ... 22.09 A^3/atom

```
data_Hf2TeO
_cell_length_a 7.0719
_cell_length_b 7.0719
_cell_length_c 7.0719
_cell_angle_alpha 134.56
_cell_angle_beta 134.56
_cell_angle_gamma 66.21
_symmetry_space_group_name_H-M 'P 1'
_symmetry_Int_Tables_number 1
loop_
_symmetry_equiv_pos_as_xyz
'x,y,z'
loop_
_atom_site_label
_atom_site_fract_x
_atom_site_fract_y
_atom_site_fract_z
Hf1 0.3750 0.2483 0.3733
Hf2 0.7517 0.1250 0.1267
Hf3 0.8750 0.0017 0.6267
Hf4 0.9983 0.6250 0.8733
Te1 0.2500 0.7500 0.5000
Te2 0.5000 0.5000 0.0000
O1 0.0000 0.0000 0.0000
O2 0.7500 0.2500 0.5000
```

4.
HfTe6O12 after structural relaxation, computed with PBE-GGA.

Calculated values
Calculated total energy ... -5.78 eV per atom
N(E_F) ... 3.482 states/eV/f.u.
E_form (uncorrected) ... -1.137 eV per atom
V ... 16.11 A^3/atom

```
data_HfTe6O12
_cell_length_a 6.8816
_cell_length_b 6.8816
_cell_length_c 6.8816
_cell_angle_alpha 100.75
_cell_angle_beta 100.75
_cell_angle_gamma 100.75
_symmetry_space_group_name_H-M 'P 1'
_symmetry_Int_Tables_number 1
loop_
_symmetry_equiv_pos_as_xyz
'x,y,z'
loop_
_atom_site_label
_atom_site_fract_x
_atom_site_fract_y
_atom_site_fract_z
Hf1 0.0000 0.0000 0.0000
Te1 0.1214 0.2709 0.5534
Te2 0.2709 0.5534 0.1214
Te3 0.4466 0.8786 0.7292
Te4 0.5534 0.1214 0.2709
Te5 0.7291 0.4466 0.8786
Te6 0.8786 0.7292 0.4466
O1 0.0121 0.0451 0.3114
O2 0.0451 0.3114 0.0121
O3 0.1328 0.6602 0.4394
O4 0.3114 0.0121 0.0451
O5 0.3398 0.5606 0.8672
O6 0.4394 0.1328 0.6602
O7 0.5606 0.8672 0.3398
O8 0.6602 0.4394 0.1328
O9 0.6886 0.9879 0.9549
O10 0.8672 0.3398 0.5606
O11 0.9549 0.6886 0.9879
O12 0.9879 0.9549 0.6886
```

5.
HfTiTe2O after structural relaxation, computed with PBE-GGA.

Calculated values
Calculated total energy ... -4.91 eV per atom
N(E_F) ... 8.754 states/eV/f.u.
E_form (uncorrected) ... 0.913 eV per atom
V ... 29.79 A^3/atom

```
data_HfTiTe2O
_cell_length_a 5.3562
_cell_length_b 5.3562
_cell_length_c 5.1914
_cell_angle_alpha 90.00
_cell_angle_beta 90.00
_cell_angle_gamma 90.00
_symmetry_space_group_name_H-M 'P 1'
_symmetry_Int_Tables_number 1
loop_
_symmetry_equiv_pos_as_xyz
'x,y,z'
loop_
_atom_site_label
_atom_site_fract_x
_atom_site_fract_y
_atom_site_fract_z
Hf1 0.0000 0.0000 0.0000
Ti1 0.0000 0.0000 0.5000
Te1 0.0000 0.5000 0.0000
Te2 0.5000 0.0000 0.0000
O1 0.5000 0.5000 0.5000
```

6.
Hf2TlTeO8 after structural relaxation, computed with PBE-GGA.

Calculated values
Calculated total energy ... -7.54 eV per atom
N(E_F) ... 2.834 states/eV/f.u.
E_form (uncorrected) ... -2.121 eV per atom
V ... 13.40 A^3/atom

```
data_Hf2TlTeO8
_cell_length_a 4.9205
_cell_length_b 6.6382
_cell_length_c 4.9241
_cell_angle_alpha 90.00
_cell_angle_beta 90.10
_cell_angle_gamma 90.00
_symmetry_space_group_name_H-M 'P 1'
_symmetry_Int_Tables_number 1
loop_
_symmetry_equiv_pos_as_xyz
'x,y,z'
loop_
_atom_site_label
_atom_site_fract_x
_atom_site_fract_y
_atom_site_fract_z
Hf1 0.0000 0.2484 0.0000
Hf2 0.0000 0.7516 0.0000
Tl1 0.5000 0.0000 0.5000
Te1 0.5000 0.5000 0.5000
O1 0.1809 0.0000 0.1795
O2 0.1970 0.5000 0.1956
O3 0.2988 0.2738 0.6997
O4 0.2988 0.7262 0.6997
O5 0.7012 0.2738 0.3003
O6 0.7012 0.7262 0.3003
O7 0.8030 0.5000 0.8044
O8 0.8191 0.0000 0.8205
```

7.
HfTl2Te3O12 after structural relaxation, computed with PBE-GGA.

Calculated values
Calculated total energy ... -6.03 eV per atom
N(E_F) ... 0.000 states/eV/f.u.
E_form (uncorrected) ... -1.384 eV per atom
V ... 15.63 A^3/atom

```
data_HfTl2Te3O12
_cell_length_a 7.3962
_cell_length_b 7.3962
_cell_length_c 7.3962
_cell_angle_alpha 59.26
_cell_angle_beta 59.26
_cell_angle_gamma 59.26
_symmetry_space_group_name_H-M 'P 1'
_symmetry_Int_Tables_number 1
loop_
_symmetry_equiv_pos_as_xyz
'x,y,z'
loop_
_atom_site_label
_atom_site_fract_x
_atom_site_fract_y
_atom_site_fract_z
Hf1 0.0000 0.0000 0.0000
Tl1 0.3666 0.3666 0.3666
Tl2 0.6334 0.6334 0.6334
Te1 0.0000 0.0000 0.5000
Te2 0.0000 0.5000 0.0000
Te3 0.5000 0.0000 0.0000
O1 0.0686 0.0686 0.6679
O2 0.0686 0.6679 0.0686
O3 0.0740 0.6780 0.6780
O4 0.3220 0.3220 0.9260
O5 0.3220 0.9260 0.3220
O6 0.3321 0.9314 0.9314
O7 0.6679 0.0686 0.0686
O8 0.6780 0.0740 0.6780
O9 0.6780 0.6780 0.0740
O10 0.9260 0.3220 0.3220
O11 0.9314 0.3321 0.9314
O12 0.9314 0.9314 0.3321
```

8.
HfTlTeO5 after structural relaxation, computed with PBE-GGA.

Calculated values
Calculated total energy ... -6.75 eV per atom
N(E_F) ... 2.511 states/eV/f.u.
E_form (uncorrected) ... -1.723 eV per atom
V ... 17.05 A^3/atom

```
data_HfTlTeO5
_cell_length_a 6.2770
_cell_length_b 6.2770
_cell_length_c 7.8503
_cell_angle_alpha 104.30
_cell_angle_beta 104.30
_cell_angle_gamma 105.11
_symmetry_space_group_name_H-M 'P 1'
_symmetry_Int_Tables_number 1
loop_
_symmetry_equiv_pos_as_xyz
'x,y,z'
loop_
_atom_site_label
_atom_site_fract_x
_atom_site_fract_y
_atom_site_fract_z
Hf1 0.0000 0.0000 0.0000
Hf2 0.0000 0.0000 0.5000
Tl1 0.3137 0.6863 0.7500
Tl2 0.6863 0.3137 0.2500
Te1 0.3169 0.6831 0.2500
Te2 0.6831 0.3169 0.7500
O1 0.0554 0.9446 0.7500
O2 0.1051 0.7098 0.3909
O3 0.2053 0.3604 0.0813
O4 0.2902 0.8949 0.1091
O5 0.3604 0.2053 0.5813
O6 0.6396 0.7947 0.4187
O7 0.7098 0.1051 0.8909
O8 0.7947 0.6396 0.9187
O9 0.8949 0.2902 0.6091
O10 0.9446 0.0554 0.2500
```